[1]
Below is a relaxed structure of DyPuAgSb, with properties calculated at the PBE level.

Geometry as CIF:
```
data_DyPuAgSb
_chemical_formula_sum 'Dy4 Pu4 Ag4 Sb4'
_space_group_name_H-M_alt 'F -4 3 m'
_space_group_IT_number 216
_space_group_name_Hall 'F -4 2 3'
_cell_length_a 7.434
_cell_length_b 7.434
_cell_length_c 7.434
_cell_angle_alpha 90.00
_cell_angle_beta 90.00
_cell_angle_gamma 90.00
loop_
_atom_site_label
_atom_site_fract_x
_atom_site_fract_y
_atom_site_fract_z
_atom_site_occupancy
Dy1 0.000 0.000 0.000 1
Pu1 0.000 0.000 0.500 1
Ag1 0.250 0.250 0.750 1
Sb1 0.250 0.250 0.250 1
```

Output
Electronic total energy: -6.900 eV per atom
Formation energy (no corrections): -0.42 eV/atom
V: 25.68 Å³ per atom

[2]
Below is a relaxed structure of Dy3PuAg3Se8, with properties calculated at the PBE level.

Geometry as CIF:
```
data_Dy3PuAg3Se8
_chemical_formula_sum 'Dy6 Pu2 Ag6 Se16'
_space_group_name_H-M_alt 'C 1 2/m 1'
_space_group_IT_number 12
_space_group_name_Hall '-C 2y'
_cell_length_a 13.712
_cell_length_b 8.337
_cell_length_c 8.044
_cell_angle_alpha 90.00
_cell_angle_beta 122.72
_cell_angle_gamma 90.00
loop_
_atom_site_label
_atom_site_fract_x
_atom_site_fract_y
_atom_site_fract_z
_atom_site_occupancy
Dy1 0.000 0.000 0.000 1
Dy2 0.250 0.250 0.500 1
Pu1 0.000 0.500 0.000 1
Ag1 0.000 0.500 0.500 1
Ag2 0.250 0.250 0.000 1
Se1 0.002 0.251 0.246 1
Se2 0.247 0.500 0.252 1
Se3 0.250 0.000 0.252 1
```

Output
Electronic total energy: -5.471 eV per atom
Formation energy (no corrections): -1.17 eV/atom
V: 25.79 Å³ per atom

[3]
Below is a relaxed structure of DyPuAg2Te4, with properties calculated at the PBE level.

Geometry as CIF:
```
data_DyPuAg2Te4
_chemical_formula_sum 'Dy2 Pu2 Ag4 Te8'
_space_group_name_H-M_alt 'I 2 2 2'
_space_group_IT_number 23
_space_group_name_Hall 'I 2 2'
_cell_length_a 7.582
_cell_length_b 7.702
_cell_length_c 8.393
_cell_angle_alpha 90.00
_cell_angle_beta 90.00
_cell_angle_gamma 90.00
loop_
_atom_site_label
_atom_site_fract_x
_atom_site_fract_y
_atom_site_fract_z
_atom_site_occupancy
Dy1 0.000 0.000 0.000 1
Pu1 0.000 0.000 0.500 1
Ag1 0.000 0.500 0.332 1
Te1 0.232 0.239 0.810 1
```

Output
Electronic total energy: -5.234 eV per atom
Formation energy (no corrections): -0.58 eV/atom
V: 30.63 Å³ per atom